Entry from Alexandria: a relaxed structure of CrTc2 (GGA-PBE).

The structure belongs to space group C2/m (No. 12); the cell edges are 9.7185, 2.9297 and 6.0403 Å and the angles 90.00°, 106.82° and 90.00°. Symmetry generates all atoms from Cr at (0.0247, 0.0000, 0.2704), Tc at (0.1510, 0.5000, 0.0539) and Tc at (0.1614, 0.5000, 0.6000).

For the offset from the most stable computed form, the calculation gives 0 meV per atom. The value obtained for the total energy is -120.261 eV per cell. The density comes out at 10.0 Mg/m³. The value obtained for the formation enthalpy at 0 K is 0.10 eV/atom.

Entry from Alexandria: a relaxed structure of Cr4Tc3 (GGA-PBE).

The structure belongs to space group I4/mmm (No. 139); the cell edges are 2.9209, 2.9209 and 21.2035 Å and the angles 90.00°, 90.00° and 90.00°. Symmetry generates all atoms from Cr at (0.0000, 0.0000, 0.0735), Cr at (0.0000, 0.0000, 0.3643), Tc at (0.0000, 0.0000, 0.2083) and Tc at (0.0000, 0.0000, 0.5000).

The value obtained for the total energy is -138.654 eV per cell. The density comes out at 9.2 Mg/m³. The value obtained for the formation enthalpy at 0 K is 0.04 eV/atom.

Entry from Alexandria: a relaxed structure of CrTc2 (GGA-PBE).

The structure belongs to space group Immm (No. 71); the cell edges are 2.7096, 3.7897 and 8.0522 Å and the angles 90.00°, 90.00° and 90.00°. Symmetry generates all atoms from Cr at (0.0000, 0.0000, 0.0000) and Tc at (0.0000, 0.0000, 0.3358).

For the offset from the most stable computed form, the calculation gives 65 meV per atom. The value obtained for the total energy is -59.739 eV per cell. The density comes out at 10.0 Mg/m³. The value obtained for the formation enthalpy at 0 K is 0.16 eV/atom.

Entry from Alexandria: a relaxed structure of Cr4Tc5 (GGA-PBE).

The structure belongs to space group I4/mmm (No. 139); the cell edges are 9.0010, 9.0010 and 2.9902 Å and the angles 90.00°, 90.00° and 90.00°. Symmetry generates all atoms from Cr at (0.0000, 0.3443, 0.0000), Tc at (0.0000, 0.0000, 0.0000) and Tc at (0.1675, 0.1675, 0.5000).

The value obtained for the total energy is -178.060 eV per cell. The density comes out at 9.6 Mg/m³. The value obtained for the formation enthalpy at 0 K is 0.14 eV/atom.

Entry from Alexandria: a relaxed structure of Cr5Tc (GGA-PBE).

The structure belongs to space group Cmmm (No. 65); the cell edges are 4.1197, 12.3202 and 2.9136 Å and the angles 90.00°, 90.00° and 90.00°. Symmetry generates all atoms from Cr at (0.0000, 0.0000, 0.0000), Cr at (0.0000, 0.1676, 0.5000), Cr at (0.0000, 0.3293, 0.0000) and Tc at (0.0000, 0.5000, 0.5000).

For the offset from the most stable computed form, the calculation gives 0 meV per atom. The value obtained for the total energy is -116.800 eV per cell. The density comes out at 8.0 Mg/m³. The value obtained for the formation enthalpy at 0 K is 0.01 eV/atom.

Entry from Alexandria: a relaxed structure of CrTc2 (GGA-PBE).

The structure belongs to space group Cm (No. 8); the cell edges are 9.5369, 2.9130 and 6.2126 Å and the angles 90.00°, 107.26° and 90.00°. Symmetry generates all atoms from Cr at (0.0000, 0.0000, 0.0000), Cr at (0.1750, 0.5000, 0.3059), Tc at (0.0518, 0.0000, 0.5136), Tc at (0.1805, 0.5000, 0.8721), Tc at (0.3497, 0.0000, 0.6574) and Tc at (0.3578, 0.0000, 0.2026).

For the offset from the most stable computed form, the calculation gives 14 meV per atom. The value obtained for the total energy is -120.089 eV per cell. The density comes out at 10.0 Mg/m³. The value obtained for the formation enthalpy at 0 K is 0.11 eV/atom.

Entry from Alexandria: a relaxed structure of Cr2Tc3 (GGA-PBE).

The structure belongs to space group R-3m (No. 166, hexagonal axes); the cell edges are 2.6941, 2.6941 and 32.5359 Å and the angles 90.00°, 90.00° and 120.00°. Symmetry generates all atoms from Cr at (0.0000, 0.0000, 0.1012), Tc at (0.0000, 0.0000, 0.2984) and Tc at (0.0000, 0.0000, 0.5000).

The value obtained for the total energy is -147.947 eV per cell. The density comes out at 9.7 Mg/m³. The value obtained for the formation enthalpy at 0 K is 0.21 eV/atom.

Entry from Alexandria: a relaxed structure of Cr8Tc (GGA-PBE).

The structure belongs to space group I4/mmm (No. 139); the cell edges are 8.6292, 8.6292 and 2.8890 Å and the angles 90.00°, 90.00° and 90.00°. Symmetry generates all atoms from Cr at (0.0000, 0.3358, 0.0000), Cr at (0.1708, 0.1708, 0.5000) and Tc at (0.0000, 0.0000, 0.0000).

The value obtained for the total energy is -174.558 eV per cell. The density comes out at 7.9 Mg/m³. The value obtained for the formation enthalpy at 0 K is 0.01 eV/atom.

> The highest formation enthalpy at 0 K belongs to which entry?

Cr2Tc3